The following is a PBE-GGA calculation of a relaxed LiCrGaRe crystal, from the Alexandria database.

Computed properties:
* calculated formation energy: 0.02 eV per atom

Cell and atoms, written as CIF:
```
data_LiCrGaRe
_cell_length_a 5.919
_cell_length_b 5.919
_cell_length_c 5.919
_cell_angle_alpha 90.00
_cell_angle_beta 90.00
_cell_angle_gamma 90.00
_symmetry_space_group_name_H-M 'F -4 3 m'
_symmetry_Int_Tables_number 216
_symmetry_space_group_name_Hall 'F -4 2 3'
loop_
_atom_site_label
_atom_site_type_symbol
_atom_site_fract_x
_atom_site_fract_y
_atom_site_fract_z
Li1 Li 0.000 0.000 0.000
Cr1 Cr 0.000 0.000 0.500
Ga1 Ga 0.250 0.250 0.750
Re1 Re 0.250 0.250 0.250
```